Entry 1:
A relaxed structure of MoPt2Se, computed with PBE.

Computed properties:
For the volume, the calculation gives 65.1 Å³ per cell. As for the raw formation energy: 0.11 eV per atom. The calculation puts the total energy at -6.490 eV per atom.

Structure (CIF):
```
data_MoPt2Se
_symmetry_space_group_name_H-M 'P 1'
_symmetry_Int_Tables_number 1
_cell_length_a 4.114
_cell_length_b 2.942
_cell_length_c 5.572
_cell_angle_alpha 74.70
_cell_angle_beta 90.00
_cell_angle_gamma 90.00
loop_
_symmetry_equiv_pos_as_xyz
'x,y,z'
loop_
_atom_site_label
_atom_site_type_symbol
_atom_site_fract_x
_atom_site_fract_y
_atom_site_fract_z
Se1 Se 0.000 0.694 0.488
Pt1 Pt 0.000 0.944 0.985
Pt2 Pt 0.500 0.304 0.267
Mo1 Mo 0.500 0.558 0.759
```

---

Entry 2:
A relaxed structure of TaMo2W5, computed with PBE.

Computed properties:
As for the formation energy: -0.061 eV/atom. For the volume, the calculation gives 130.5 Å³ per cell. The calculation puts the total energy at -12.346 eV per atom.

Structure (CIF):
```
data_TaMo2W5
_symmetry_space_group_name_H-M 'P 1'
_symmetry_Int_Tables_number 1
_cell_length_a 6.389
_cell_length_b 6.389
_cell_length_c 5.535
_cell_angle_alpha 125.25
_cell_angle_beta 125.25
_cell_angle_gamma 90.00
loop_
_symmetry_equiv_pos_as_xyz
'x,y,z'
loop_
_atom_site_label
_atom_site_type_symbol
_atom_site_fract_x
_atom_site_fract_y
_atom_site_fract_z
W1 W 0.722 0.722 0.944
W2 W 0.722 0.722 0.444
W3 W 0.222 0.722 0.944
W4 W 0.222 0.222 0.944
W5 W 0.722 0.222 0.944
Ta1 Ta 0.222 0.222 0.444
Mo1 Mo 0.222 0.722 0.444
Mo2 Mo 0.722 0.222 0.444
```

---

Entry 3:
A relaxed structure of Y2Be, computed with PBE.

Computed properties:
As for the formation energy: 0.086 eV/atom. For the volume, the calculation gives 144.1 Å³ per cell. The calculation puts the total energy at -5.465 eV per atom.

Structure (CIF):
```
data_Y2Be
_symmetry_space_group_name_H-M 'P 1'
_symmetry_Int_Tables_number 1
_cell_length_a 8.217
_cell_length_b 8.217
_cell_length_c 5.089
_cell_angle_alpha 90.00
_cell_angle_beta 90.00
_cell_angle_gamma 155.19
loop_
_symmetry_equiv_pos_as_xyz
'x,y,z'
loop_
_atom_site_label
_atom_site_type_symbol
_atom_site_fract_x
_atom_site_fract_y
_atom_site_fract_z
Y1 Y 0.574 0.426 0.750
Y2 Y 0.716 0.284 0.250
Y3 Y 0.426 0.574 0.250
Y4 Y 0.284 0.716 0.750
Be1 Be 0.072 0.928 0.250
Be2 Be 0.928 0.072 0.750
```

---

Entry 4:
A relaxed structure of KSrIn2, computed with PBE.

Computed properties:
As for the formation energy: -0.189 eV/atom. For the volume, the calculation gives 136.3 Å³ per cell. The calculation puts the total energy at -2.253 eV per atom.

Structure (CIF):
```
data_KSrIn2
_symmetry_space_group_name_H-M 'P 1'
_symmetry_Int_Tables_number 1
_cell_length_a 5.735
_cell_length_b 3.847
_cell_length_c 6.178
_cell_angle_alpha 89.98
_cell_angle_beta 90.00
_cell_angle_gamma 90.00
loop_
_symmetry_equiv_pos_as_xyz
'x,y,z'
loop_
_atom_site_label
_atom_site_type_symbol
_atom_site_fract_x
_atom_site_fract_y
_atom_site_fract_z
K1 K 0.000 0.625 0.428
In1 In 0.000 0.125 0.950
In2 In 0.500 0.125 0.295
Sr1 Sr 0.500 0.625 0.827
```

---

Entry 5:
A relaxed structure of RbNa2VS4, computed with PBE.

Computed properties:
For the volume, the calculation gives 221.3 Å³ per cell. As for the raw formation energy: -1.07 eV per atom. The calculation puts the total energy at -4.725 eV per atom.

Structure (CIF):
```
data_RbNa2VS4
_symmetry_space_group_name_H-M 'P 1'
_symmetry_Int_Tables_number 1
_cell_length_a 7.150
_cell_length_b 7.150
_cell_length_c 6.646
_cell_angle_alpha 122.36
_cell_angle_beta 122.36
_cell_angle_gamma 90.29
loop_
_symmetry_equiv_pos_as_xyz
'x,y,z'
loop_
_atom_site_label
_atom_site_type_symbol
_atom_site_fract_x
_atom_site_fract_y
_atom_site_fract_z
S1 S 0.180 0.180 0.714
S2 S 0.534 0.534 0.714
S3 S 0.818 0.465 0.282
S4 S 0.465 0.818 0.282
Na1 Na 0.252 0.752 0.504
Na2 Na 0.752 0.252 0.504
Rb1 Rb 0.000 0.000 0.001
V1 V 0.499 0.499 0.999
```

---

Entry 6:
A relaxed structure of RhIN2O, computed with PBE.

Computed properties:
For the volume, the calculation gives 65.1 Å³ per cell. As for the raw formation energy: 2.27 eV per atom. The calculation puts the total energy at -3.836 eV per atom.

Structure (CIF):
```
data_RhIN2O
_symmetry_space_group_name_H-M 'P 1'
_symmetry_Int_Tables_number 1
_cell_length_a 3.904
_cell_length_b 3.904
_cell_length_c 4.270
_cell_angle_alpha 90.00
_cell_angle_beta 90.00
_cell_angle_gamma 90.00
loop_
_symmetry_equiv_pos_as_xyz
'x,y,z'
loop_
_atom_site_label
_atom_site_type_symbol
_atom_site_fract_x
_atom_site_fract_y
_atom_site_fract_z
N1 N 0.500 0.000 0.000
N2 N 0.000 0.500 0.000
O1 O 0.000 0.000 0.000
I1 I 0.000 0.000 0.500
Rh1 Rh 0.500 0.500 0.500
```

---

Entry 7:
A relaxed structure of Gd2ThFe, computed with PBE.

Computed properties:
As for the formation energy: 0.337 eV/atom. For the volume, the calculation gives 111.2 Å³ per cell. The calculation puts the total energy at -10.674 eV per atom.

Structure (CIF):
```
data_Gd2ThFe
_symmetry_space_group_name_H-M 'P 1'
_symmetry_Int_Tables_number 1
_cell_length_a 3.465
_cell_length_b 3.465
_cell_length_c 10.882
_cell_angle_alpha 80.84
_cell_angle_beta 80.84
_cell_angle_gamma 60.00
loop_
_symmetry_equiv_pos_as_xyz
'x,y,z'
loop_
_atom_site_label
_atom_site_type_symbol
_atom_site_fract_x
_atom_site_fract_y
_atom_site_fract_z
Gd1 Gd 0.108 0.108 0.677
Gd2 Gd 0.892 0.892 0.323
Th1 Th 0.000 0.000 0.000
Fe1 Fe 0.500 0.500 0.500
```

---

Entry 8:
A relaxed structure of TbHf2Nb, computed with PBE.

Computed properties:
As for the formation energy: 0.119 eV/atom. For the volume, the calculation gives 93.8 Å³ per cell. The calculation puts the total energy at -8.533 eV per atom.

Structure (CIF):
```
data_TbHf2Nb
_symmetry_space_group_name_H-M 'P 1'
_symmetry_Int_Tables_number 1
_cell_length_a 3.517
_cell_length_b 3.517
_cell_length_c 7.584
_cell_angle_alpha 90.00
_cell_angle_beta 90.00
_cell_angle_gamma 90.00
loop_
_symmetry_equiv_pos_as_xyz
'x,y,z'
loop_
_atom_site_label
_atom_site_type_symbol
_atom_site_fract_x
_atom_site_fract_y
_atom_site_fract_z
Hf1 Hf 0.000 0.000 0.798
Hf2 Hf 0.000 0.000 0.202
Nb1 Nb 0.500 0.500 0.000
Tb1 Tb 0.500 0.500 0.500
```

---

Entry 9:
A relaxed structure of CaTl2Co, computed with PBE.

Computed properties:
As for the formation energy: 0.294 eV/atom. For the volume, the calculation gives 94.9 Å³ per cell. The calculation puts the total energy at -3.166 eV per atom.

Structure (CIF):
```
data_CaTl2Co
_symmetry_space_group_name_H-M 'P 1'
_symmetry_Int_Tables_number 1
_cell_length_a 5.120
_cell_length_b 5.120
_cell_length_c 5.120
_cell_angle_alpha 60.00
_cell_angle_beta 60.00
_cell_angle_gamma 60.00
loop_
_symmetry_equiv_pos_as_xyz
'x,y,z'
loop_
_atom_site_label
_atom_site_type_symbol
_atom_site_fract_x
_atom_site_fract_y
_atom_site_fract_z
Ca1 Ca 0.500 0.500 0.500
Tl1 Tl 0.250 0.250 0.250
Tl2 Tl 0.000 0.000 0.000
Co1 Co 0.750 0.750 0.750
```

---

Entry 10:
A relaxed structure of Li3AcIn2, computed with PBE.

Computed properties:
As for the formation energy: -0.262 eV/atom. For the volume, the calculation gives 300.7 Å³ per cell. The calculation puts the total energy at -2.817 eV per atom.

Structure (CIF):
```
data_Li3AcIn2
_symmetry_space_group_name_H-M 'P 1'
_symmetry_Int_Tables_number 1
_cell_length_a 4.770
_cell_length_b 4.770
_cell_length_c 15.261
_cell_angle_alpha 90.00
_cell_angle_beta 90.00
_cell_angle_gamma 120.00
loop_
_symmetry_equiv_pos_as_xyz
'x,y,z'
loop_
_atom_site_label
_atom_site_type_symbol
_atom_site_fract_x
_atom_site_fract_y
_atom_site_fract_z
Li1 Li 0.333 0.667 0.427
Li2 Li 0.000 0.000 0.000
Li3 Li 0.000 0.000 0.500
Li4 Li 0.667 0.333 0.573
Li5 Li 0.667 0.333 0.927
Li6 Li 0.333 0.667 0.073
In1 In 0.333 0.667 0.889
In2 In 0.667 0.333 0.389
In3 In 0.333 0.667 0.611
In4 In 0.667 0.333 0.111
Ac1 Ac 0.000 0.000 0.250
Ac2 Ac 0.000 0.000 0.750
```

---

Entry 11:
A relaxed structure of YScTlIr, computed with PBE.

Computed properties:
As for the formation energy: -0.479 eV/atom. For the volume, the calculation gives 86.7 Å³ per cell. The calculation puts the total energy at -6.485 eV per atom.

Structure (CIF):
```
data_YScTlIr
_symmetry_space_group_name_H-M 'P 1'
_symmetry_Int_Tables_number 1
_cell_length_a 4.968
_cell_length_b 4.968
_cell_length_c 4.968
_cell_angle_alpha 60.00
_cell_angle_beta 60.00
_cell_angle_gamma 60.00
loop_
_symmetry_equiv_pos_as_xyz
'x,y,z'
loop_
_atom_site_label
_atom_site_type_symbol
_atom_site_fract_x
_atom_site_fract_y
_atom_site_fract_z
Tl1 Tl 0.750 0.750 0.750
Y1 Y 0.500 0.500 0.500
Sc1 Sc 0.000 0.000 0.000
Ir1 Ir 0.250 0.250 0.250
```

---

Entry 12:
A relaxed structure of Sr2LiAg2, computed with PBE.

Computed properties:
As for the formation energy: -0.027 eV/atom. For the volume, the calculation gives 157.3 Å³ per cell. The calculation puts the total energy at -2.223 eV per atom.

Structure (CIF):
```
data_Sr2LiAg2
_symmetry_space_group_name_H-M 'P 1'
_symmetry_Int_Tables_number 1
_cell_length_a 4.021
_cell_length_b 4.021
_cell_length_c 10.137
_cell_angle_alpha 78.56
_cell_angle_beta 78.56
_cell_angle_gamma 90.00
loop_
_symmetry_equiv_pos_as_xyz
'x,y,z'
loop_
_atom_site_label
_atom_site_type_symbol
_atom_site_fract_x
_atom_site_fract_y
_atom_site_fract_z
Ag1 Ag 0.250 0.750 0.500
Ag2 Ag 0.750 0.250 0.500
Li1 Li 0.000 0.000 0.000
Sr1 Sr 0.614 0.614 0.772
Sr2 Sr 0.386 0.386 0.228
```

---

Entry 13:
A relaxed structure of TbPr2Ho2Er2, computed with PBE.

Computed properties:
As for the formation energy: 0.085 eV/atom. For the volume, the calculation gives 231.0 Å³ per cell. The calculation puts the total energy at -4.553 eV per atom.

Structure (CIF):
```
data_TbPr2Ho2Er2
_symmetry_space_group_name_H-M 'P 1'
_symmetry_Int_Tables_number 1
_cell_length_a 3.517
_cell_length_b 6.125
_cell_length_c 11.845
_cell_angle_alpha 71.72
_cell_angle_beta 90.00
_cell_angle_gamma 106.69
loop_
_symmetry_equiv_pos_as_xyz
'x,y,z'
loop_
_atom_site_label
_atom_site_type_symbol
_atom_site_fract_x
_atom_site_fract_y
_atom_site_fract_z
Er1 Er 0.227 0.453 0.635
Er2 Er 0.773 0.547 0.365
Pr1 Pr 0.671 0.342 0.915
Pr2 Pr 0.329 0.658 0.085
Ho1 Ho 0.451 0.901 0.768
Ho2 Ho 0.549 0.099 0.232
Tb1 Tb 0.000 0.000 0.500
```

---

Entry 14:
A relaxed structure of Ac5Nd2SmTm, computed with PBE.

Computed properties:
As for the formation energy: 0.292 eV/atom. For the volume, the calculation gives 737.3 Å³ per cell. The calculation puts the total energy at -4.071 eV per atom.

Structure (CIF):
```
data_Ac5Nd2SmTm
_symmetry_space_group_name_H-M 'P 1'
_symmetry_Int_Tables_number 1
_cell_length_a 8.476
_cell_length_b 8.476
_cell_length_c 11.884
_cell_angle_alpha 110.89
_cell_angle_beta 110.89
_cell_angle_gamma 90.00
loop_
_symmetry_equiv_pos_as_xyz
'x,y,z'
loop_
_atom_site_label
_atom_site_type_symbol
_atom_site_fract_x
_atom_site_fract_y
_atom_site_fract_z
Tm1 Tm 0.250 0.750 0.500
Tm2 Tm 0.750 0.250 0.500
Sm1 Sm 0.750 0.750 0.500
Sm2 Sm 0.250 0.250 0.500
Ac1 Ac 0.864 0.913 0.277
Ac2 Ac 0.500 0.500 0.000
Ac3 Ac 0.413 0.364 0.277
Ac4 Ac 0.364 0.864 0.277
Ac5 Ac 0.000 0.000 0.000
Ac6 Ac 0.913 0.413 0.277
Ac7 Ac 0.587 0.636 0.723
Ac8 Ac 0.636 0.136 0.723
Ac9 Ac 0.087 0.587 0.723
Ac10 Ac 0.136 0.087 0.723
Nd1 Nd 0.378 0.878 0.000
Nd2 Nd 0.622 0.122 0.000
Nd3 Nd 0.878 0.622 0.000
Nd4 Nd 0.122 0.378 0.000
```

---

Entry 15:
A relaxed structure of Li6PdAu2, computed with PBE.

Computed properties:
As for the formation energy: -0.426 eV/atom. For the volume, the calculation gives 134.0 Å³ per cell. The calculation puts the total energy at -3.007 eV per atom.

Structure (CIF):
```
data_Li6PdAu2
_symmetry_space_group_name_H-M 'P 1'
_symmetry_Int_Tables_number 1
_cell_length_a 2.764
_cell_length_b 7.933
_cell_length_c 7.934
_cell_angle_alpha 56.10
_cell_angle_beta 70.81
_cell_angle_gamma 70.80
loop_
_symmetry_equiv_pos_as_xyz
'x,y,z'
loop_
_atom_site_label
_atom_site_type_symbol
_atom_site_fract_x
_atom_site_fract_y
_atom_site_fract_z
Li1 Li 0.666 0.832 0.499
Li2 Li 0.001 0.169 0.831
Li3 Li 0.336 0.500 0.168
Li4 Li 0.999 0.831 0.169
Li5 Li 0.664 0.500 0.832
Li6 Li 0.334 0.168 0.501
Au1 Au 0.166 0.167 0.167
Au2 Au 0.834 0.833 0.833
Pd1 Pd 0.500 0.500 0.500
```